Entry 1:
Here is a geometry-optimized LiNi2Ag structure from Alexandria. Energies are from PBE.

Lattice parameters (Å, degrees): 2.745 4.208 4.433 90.00 90.00 90.00
Space group Pmmm (No. 47)
Asymmetric unit:
Li: 0.000 0.000 0.000 x1
Ni: 0.000 0.500 0.500 x1
Ni: 0.500 0.000 0.500 x1
Ag: 0.500 0.500 0.000 x1

Total DFT energy (no corrections): -4.01 eV per atom
ρ: 7.53 g cm⁻³
Spin magnetization: 0.0 Bohr magnetons per cell
Energy of formation from the pure elements: 74 meV/atom

Entry 2:
Here is a geometry-optimized LiNiAg2 structure from Alexandria. Energies are from PBE.

Lattice parameters (Å, degrees): 3.093 4.349 8.860 90.00 90.00 90.00
Space group Imm2 (No. 44)
Asymmetric unit:
Li: 0.000 0.000 0.000 x2
Ni: 0.000 0.500 0.267 x2
Ag: 0.000 0.000 0.522 x2
Ag: 0.000 0.500 0.754 x2

Total DFT energy (no corrections): -3.31 eV per atom
ρ: 7.84 g cm⁻³
Spin magnetization: 0.0 Bohr magnetons per cell
Energy of formation from the pure elements: 38 meV/atom